(1)
An optimized crystal structure of LaTbTh2Pt4. Source: Alexandria, functional GGA-PBE.

Values from the calculation:
Volume, A^3/atom: 25.9
Uncorrected energy, eV per atom: -7.260

Lattice parameters (Å, degrees): 8.3537 11.8726 8.3537 90.00 90.00 90.00
Space group Fmm2 (No. 42)
Unique sites:
La (0.0000, 0.0000, 0.0000)
Tb (0.0000, 0.0000, 0.4992)
Th (0.2500, 0.2500, 0.2498)
Pt (0.0000, 0.2453, 0.4998)
Pt (0.2504, 0.0000, 0.2496)

***

(2)
An optimized crystal structure of Mo2RhSe. Source: Alexandria, functional GGA-PBE.

Values from the calculation:
Formation energy (no corrections), eV/atom: 0.24
Volume, A^3/atom: 15.6
Uncorrected energy, eV per atom: -7.886

Lattice parameters (Å, degrees): 5.2871 8.3539 2.9030 90.00 102.81 90.00
Space group C2/m (No. 12)
Unique sites:
Mo (0.2500, 0.2500, 0.0000)
Rh (0.0000, 0.0000, 0.5000)
Se (0.0000, 0.5000, 0.5000)

***

(3)
An optimized crystal structure of SrZrSi2. Source: Alexandria, functional GGA-PBE.

Values from the calculation:
Formation energy (no corrections), eV/atom: -0.05
Volume, A^3/atom: 22.6
Uncorrected energy, eV per atom: -5.323
Offset from the most stable computed form, eV per atom: 0.375

Lattice parameters (Å, degrees): 3.3572 3.3572 8.0278 90.00 90.00 90.00
Space group P4mm (No. 99)
Unique sites:
Sr (0.0000, 0.0000, 0.0000)
Zr (0.5000, 0.5000, 0.3842)
Si (0.0000, 0.0000, 0.5883)
Si (0.5000, 0.5000, 0.7201)

***

(4)
An optimized crystal structure of Np2NiP4Ru3. Source: Alexandria, functional GGA-PBE.

Values from the calculation:
Volume, A^3/atom: 15.8
Uncorrected energy, eV per atom: -8.735

Lattice parameters (Å, degrees): 4.0899 4.0899 9.4298 90.00 90.00 90.00
Space group P-4m2 (No. 115)
Unique sites:
Np (0.0000, 0.5000, 0.2435)
Ni (0.0000, 0.0000, 0.5000)
P (0.0000, 0.0000, 0.0000)
P (0.0000, 0.5000, 0.6325)
P (0.5000, 0.5000, 0.0000)
Ru (0.0000, 0.5000, 0.8799)
Ru (0.5000, 0.5000, 0.5000)